A plane-wave DFT calculation with PBE was carried out for an optimized crystal structure of Tm5Tl2Cd2.

Cell lengths 7.228, 8.475, 9.150 Å; angles 117.59, 90.00, 90.00 degrees
Fractional coordinates of all 18 atoms:
Tm1 0.000 0.000 0.000
Tm2 0.500 0.500 0.000
Tm3 0.838 0.827 0.282
Tm4 0.162 0.454 0.282
Tm5 0.338 0.954 0.282
Tm6 0.662 0.327 0.282
Tm7 0.162 0.173 0.718
Tm8 0.838 0.546 0.718
Tm9 0.662 0.046 0.718
Tm10 0.338 0.673 0.718
Tl1 0.000 0.210 0.421
Tl2 0.500 0.710 0.421
Tl3 0.000 0.790 0.579
Tl4 0.500 0.290 0.579
Cd1 0.616 0.862 0.000
Cd2 0.384 0.138 0.000
Cd3 0.116 0.638 0.000
Cd4 0.884 0.362 0.000

* formation enthalpy at 0 K: -219 meV per atom
* V: 27.60 Å³/atom
* DOS(E_F): 13.10 states/eV/cell
* mass density: 9.88 g cm⁻³
* space group: Cmce, No. 64
* crystal system: orthorhombic
* spin magnetization: 0.0 μB/f.u.